First-principles (PBE-GGA) data for a relaxed structure of SbPtAu2, as listed in Alexandria via LeMat-Bulk.

Summary:
**E**: -16.77 eV per cell
**DOS(E_F)**: 0.195 states/eV per atom
**Formation energy (no corrections)**: -0.01 eV per atom
**Total magnetization**: 0.00 μB/f.u.
**Symmetry**: No. 44

a = 5.0357 Å, b = 5.0357 Å, c = 5.0357 Å
α = 128.68°, β = 128.97°, γ = 75.29°
Sites, in units of the cell vectors:
Au 0.9998 0.9998 0.0000
Au 0.7511 0.2511 0.5000
Pt 0.5011 0.5011 0.0000
Sb 0.2480 0.7480 0.5000

First-principles (PBE-GGA) data for a relaxed structure of SbPtAu, as listed in Alexandria via LeMat-Bulk.

Summary:
**E**: -28.03 eV per cell
**DOS(E_F)**: 0.302 states/eV per atom
**Formation energy (no corrections)**: -0.19 eV per atom
**Total magnetization**: 0.00 μB/f.u.
**Symmetry**: No. 12
**E above lowest polymorph**: 0.0000 eV/atom

a = 3.8854 Å, b = 5.7719 Å, c = 6.0515 Å
α = 105.91°, β = 108.73°, γ = 90.00°
Sites, in units of the cell vectors:
Sb 0.3665 0.6697 0.7329
Sb 0.6335 0.3303 0.2671
Pt 0.2595 0.1888 0.5190
Pt 0.7405 0.8112 0.4810
Au 0.9449 0.2311 0.8898
Au 0.0551 0.7689 0.1102

First-principles (PBE-GGA) data for a relaxed structure of SbPt2Au, as listed in Alexandria via LeMat-Bulk.

Summary:
**E**: -19.86 eV per cell
**DOS(E_F)**: 0.276 states/eV per atom
**Formation energy (no corrections)**: -0.10 eV per atom
**Total magnetization**: 0.00 μB/f.u.
**Symmetry**: No. 44

a = 5.5519 Å, b = 5.5519 Å, c = 4.0763 Å
α = 68.47°, β = 68.47°, γ = 39.59°
Sites, in units of the cell vectors:
Au 0.2259 0.2259 0.2741
Pt 0.0179 0.0179 0.9821
Pt 0.7793 0.7793 0.7207
Sb 0.4769 0.4769 0.5232

First-principles (PBE-GGA) data for a relaxed structure of SbPtAu, as listed in Alexandria via LeMat-Bulk.

Summary:
**E**: -13.75 eV per cell
**DOS(E_F)**: 0.218 states/eV per atom
**Formation energy (no corrections)**: -0.10 eV per atom
**Total magnetization**: 0.00 μB/f.u.
**Symmetry**: No. 107
**E above lowest polymorph**: 0.0873 eV/atom

a = 5.1586 Å, b = 5.1586 Å, c = 5.1586 Å
α = 138.89°, β = 138.93°, γ = 59.51°
Sites, in units of the cell vectors:
Au 0.9949 0.9949 0.0000
Pt 0.3178 0.3178 0.0000
Sb 0.6874 0.6874 0.0000

First-principles (PBE-GGA) data for a relaxed structure of Sb2Pt2Au, as listed in Alexandria via LeMat-Bulk.

Summary:
**E**: -47.33 eV per cell
**DOS(E_F)**: 0.428 states/eV per atom
**Formation energy (no corrections)**: -0.01 eV per atom
**Total magnetization**: 0.00 μB/f.u.
**Symmetry**: No. 127
**E above lowest polymorph**: 0.1486 eV/atom

a = 7.8283 Å, b = 7.8283 Å, c = 3.3689 Å
α = 90.00°, β = 90.00°, γ = 90.00°
Sites, in units of the cell vectors:
Sb 0.3273 0.8273 0.0000
Sb 0.8273 0.6727 0.0000
Sb 0.6727 0.1727 0.0000
Sb 0.1727 0.3273 0.0000
Au 0.0000 0.0000 0.0000
Au 0.5000 0.5000 0.0000
Pt 0.1274 0.6274 0.5000
Pt 0.6274 0.8726 0.5000
Pt 0.8726 0.3726 0.5000
Pt 0.3726 0.1274 0.5000

First-principles (PBE-GGA) data for a relaxed structure of SbPt2Au, as listed in Alexandria via LeMat-Bulk.

Summary:
**E**: -19.75 eV per cell
**DOS(E_F)**: 0.440 states/eV per atom
**Formation energy (no corrections)**: -0.07 eV per atom
**Total magnetization**: 0.00 μB/f.u.
**Symmetry**: No. 12

a = 4.7682 Å, b = 4.7682 Å, c = 4.7778 Å
α = 75.14°, β = 75.14°, γ = 44.64°
Sites, in units of the cell vectors:
Au 0.2500 0.2500 0.2500
Pt 0.0029 0.0029 0.9931
Pt 0.4971 0.4971 0.5069
Sb 0.7500 0.7500 0.7500

First-principles (PBE-GGA) data for a relaxed structure of Sc2SbPtAu, as listed in Alexandria via LeMat-Bulk.

Summary:
**E**: -27.49 eV per cell
**DOS(E_F)**: 0.990 states/eV per atom
**Formation energy (no corrections)**: -0.28 eV per atom
**Total magnetization**: 0.00 μB/f.u.
**Symmetry**: No. 123

a = 4.9953 Å, b = 5.0890 Å, c = 4.9953 Å
α = 90.00°, β = 90.00°, γ = 90.00°
Sites, in units of the cell vectors:
Sc 0.0000 0.0000 0.5000
Sc 0.5000 0.0000 0.0000
Sb 0.5000 0.5000 0.5000
Au 0.0000 0.5000 0.0000
Pt 0.0000 0.0000 0.0000

First-principles (PBE-GGA) data for a relaxed structure of SmSbPtAu, as listed in Alexandria via LeMat-Bulk.

Summary:
**E**: -20.96 eV per cell
**DOS(E_F)**: 0.608 states/eV per atom
**Formation energy (no corrections)**: -0.70 eV per atom
**Total magnetization**: 0.00 μB/f.u.
**Symmetry**: No. 216

a = 4.9811 Å, b = 4.9811 Å, c = 4.9811 Å
α = 60.00°, β = 60.00°, γ = 60.00°
Sites, in units of the cell vectors:
Sb 0.7500 0.7500 0.7500
Au 0.5000 0.5000 0.5000
Sm 0.2500 0.2500 0.2500
Pt 0.0000 0.0000 0.0000